VASP calculation (PBE) on CsCdAs2Br after structural relaxation. Values from VASP.

Results
The formation energy (no corrections) comes out at -22 kJ/mol of formula units. Its excess energy over the best structure of this formula in the dataset is 0.0 meV per atom. The electronic total energy is -2.594 eV/atom. The density of states at the Fermi level comes out at 0.447 states/eV/atom.

Cell and atoms, written as Quantum ESPRESSO input:
```
&SYSTEM
  ibrav = 0, nat = 5, ntyp = 4
/
ATOMIC_SPECIES
Br 79.90 Br.upf
Cd 112.41 Cd.upf
As 74.92 As.upf
Cs 132.91 Cs.upf
ATOMIC_POSITIONS angstrom
Br 0.757 -2.363 2.086
Cd 0.000 0.000 0.000
As -0.407 1.645 2.011
As -2.524 -0.732 0.088
Cs -2.174 -1.449 4.185
CELL_PARAMETERS angstrom
-0.814 3.290 4.022
-5.049 -1.463 0.176
1.515 -4.725 4.173
```

VASP calculation (PBE) on CsCdAs2Br after structural relaxation. Values from VASP.

Results
The formation energy (no corrections) comes out at 364 kJ/mol of formula units. Its excess energy over the best structure of this formula in the dataset is 801.4 meV per atom. The electronic total energy is -1.793 eV/atom.

Cell and atoms, written as Quantum ESPRESSO input:
```
&SYSTEM
  ibrav = 0, nat = 5, ntyp = 4
/
ATOMIC_SPECIES
Br 79.90 Br.upf
Cs 132.91 Cs.upf
As 74.92 As.upf
Cd 112.41 Cd.upf
ATOMIC_POSITIONS angstrom
Br 0.036 -3.290 0.210
Cs 0.000 0.000 0.000
As -3.924 -0.094 -0.793
Cd -3.090 -3.626 -4.500
As 0.798 -0.241 -3.917
CELL_PARAMETERS angstrom
-7.849 -0.188 -1.587
1.595 -0.482 -7.834
0.073 -6.580 0.420
```

VASP calculation (PBE) on CsCdAsBr6 after structural relaxation. Values from VASP.

Results
The formation energy (no corrections) comes out at -764 kJ/mol of formula units. The electronic total energy is -2.708 eV/atom. The density of states at the Fermi level comes out at 0.000 states/eV/atom.

Cell and atoms, written as Quantum ESPRESSO input:
```
&SYSTEM
  ibrav = 0, nat = 9, ntyp = 4
/
ATOMIC_SPECIES
Br 79.90 Br.upf
Cs 132.91 Cs.upf
As 74.92 As.upf
Cd 112.41 Cd.upf
ATOMIC_POSITIONS angstrom
Br 1.271 -1.777 4.659
Br 5.868 -3.434 2.454
Cs 5.812 -1.994 8.968
Br 2.377 -5.182 3.464
Br 2.696 -2.188 1.188
Br 4.595 -0.362 4.242
Br 4.551 -3.713 5.981
As 3.560 -2.776 3.665
Cd 3.361 -6.262 5.870
CELL_PARAMETERS angstrom
-1.705 -3.413 6.050
1.108 -7.044 0.567
7.518 1.420 2.919
```

VASP calculation (PBE) on CdCuAs2Br after structural relaxation. Values from VASP.

Results
The formation energy (no corrections) comes out at 216 kJ/mol of formula units. Its excess energy over the best structure of this formula in the dataset is 0.0 meV per atom. The electronic total energy is -2.749 eV/atom. The density of states at the Fermi level comes out at 0.858 states/eV/atom.

Cell and atoms, written as Quantum ESPRESSO input:
```
&SYSTEM
  ibrav = 0, nat = 5, ntyp = 4
/
ATOMIC_SPECIES
As 74.92 As.upf
Br 79.90 Br.upf
Cu 63.55 Cu.upf
Cd 112.41 Cd.upf
ATOMIC_POSITIONS angstrom
As 0.372 -1.808 -1.462
As -2.058 -0.945 0.645
Br 1.242 -1.349 1.984
Cu 0.000 0.000 0.000
Cd -0.444 -4.102 1.168
CELL_PARAMETERS angstrom
-4.115 -1.891 1.290
0.745 -3.616 -2.924
2.484 -2.698 3.969
```

VASP calculation (PBE) on CdAs2BrF after structural relaxation. Values from VASP.

Results
The formation energy (no corrections) comes out at 45 kJ/mol of formula units. Its excess energy over the best structure of this formula in the dataset is 0.0 meV per atom. The electronic total energy is -2.658 eV/atom. The density of states at the Fermi level comes out at 0.713 states/eV/atom.

Cell and atoms, written as Quantum ESPRESSO input:
```
&SYSTEM
  ibrav = 0, nat = 5, ntyp = 4
/
ATOMIC_SPECIES
Br 79.90 Br.upf
F 19.00 F.upf
As 74.92 As.upf
Cd 112.41 Cd.upf
ATOMIC_POSITIONS angstrom
Br 0.000 0.000 3.063
F 0.000 0.000 0.000
As 2.169 0.000 0.000
Cd 2.169 2.169 3.063
As 0.000 2.169 0.000
CELL_PARAMETERS angstrom
4.338 0.000 0.000
0.000 4.338 0.000
0.000 0.000 6.125
```

VASP calculation (PBE) on CdAsBr2F after structural relaxation. Values from VASP.

Results
The formation energy (no corrections) comes out at -75 kJ/mol of formula units. Its excess energy over the best structure of this formula in the dataset is 0.0 meV per atom. The electronic total energy is -2.311 eV/atom. The density of states at the Fermi level comes out at 0.618 states/eV/atom.

Cell and atoms, written as Quantum ESPRESSO input:
```
&SYSTEM
  ibrav = 0, nat = 5, ntyp = 4
/
ATOMIC_SPECIES
F 19.00 F.upf
Cd 112.41 Cd.upf
As 74.92 As.upf
Br 79.90 Br.upf
ATOMIC_POSITIONS angstrom
F 0.000 0.000 0.000
Cd 2.845 2.845 1.950
As 0.000 0.000 1.950
Br 0.000 2.845 0.000
Br 2.845 0.000 0.000
CELL_PARAMETERS angstrom
5.690 0.000 0.000
0.000 5.690 0.000
0.000 0.000 3.901
```

VASP calculation (PBE) on CdAsBr2F after structural relaxation. Values from VASP.

Results
The formation energy (no corrections) comes out at 99 kJ/mol of formula units. Its excess energy over the best structure of this formula in the dataset is 359.9 meV per atom. The electronic total energy is -1.951 eV/atom. The density of states at the Fermi level comes out at 1.745 states/eV/atom.

Cell and atoms, written as Quantum ESPRESSO input:
```
&SYSTEM
  ibrav = 0, nat = 5, ntyp = 4
/
ATOMIC_SPECIES
F 19.00 F.upf
Cd 112.41 Cd.upf
As 74.92 As.upf
Br 79.90 Br.upf
ATOMIC_POSITIONS angstrom
F 2.666 2.666 2.738
Cd 0.000 0.000 0.000
As 0.000 0.000 2.738
Br 2.666 0.000 0.000
Br 0.000 2.666 0.000
CELL_PARAMETERS angstrom
5.332 0.000 0.000
0.000 5.332 0.000
0.000 0.000 5.476
```

VASP calculation (PBE) on CdAs2BrF after structural relaxation. Values from VASP.

Results
The formation energy (no corrections) comes out at 263 kJ/mol of formula units. Its excess energy over the best structure of this formula in the dataset is 452.0 meV per atom. The electronic total energy is -2.206 eV/atom. The density of states at the Fermi level comes out at 1.105 states/eV/atom.

Cell and atoms, written as Quantum ESPRESSO input:
```
&SYSTEM
  ibrav = 0, nat = 5, ntyp = 4
/
ATOMIC_SPECIES
Cd 112.41 Cd.upf
As 74.92 As.upf
F 19.00 F.upf
Br 79.90 Br.upf
ATOMIC_POSITIONS angstrom
Cd 0.000 0.000 0.000
As -2.365 -1.097 -0.180
F -0.774 -4.430 -0.776
As 0.766 -1.302 -2.132
Br 0.825 -2.030 1.536
CELL_PARAMETERS angstrom
-4.730 -2.194 -0.360
1.533 -2.605 -4.265
1.650 -4.060 3.073
```

VASP calculation (PBE) on CdAsBr2F after structural relaxation. Values from VASP.

Results
The formation energy (no corrections) comes out at -44 kJ/mol of formula units. Its excess energy over the best structure of this formula in the dataset is 63.3 meV per atom. The electronic total energy is -2.248 eV/atom. The density of states at the Fermi level comes out at 0.846 states/eV/atom.

Cell and atoms, written as Quantum ESPRESSO input:
```
&SYSTEM
  ibrav = 0, nat = 5, ntyp = 4
/
ATOMIC_SPECIES
Cd 112.41 Cd.upf
As 74.92 As.upf
F 19.00 F.upf
Br 79.90 Br.upf
ATOMIC_POSITIONS angstrom
Cd 0.000 1.993 0.000
As 2.833 1.993 2.833
F 0.000 0.000 0.000
Br 2.833 0.000 0.000
Br 0.000 0.000 2.833
CELL_PARAMETERS angstrom
5.666 0.000 0.000
0.000 3.987 0.000
0.000 0.000 5.666
```

VASP calculation (PBE) on CdFeAs2Br after structural relaxation. Values from VASP.

Results
The formation energy (no corrections) comes out at 129 kJ/mol of formula units. Its excess energy over the best structure of this formula in the dataset is 0.0 meV per atom. The electronic total energy is -3.803 eV/atom. The density of states at the Fermi level comes out at 0.743 states/eV/atom.

Cell and atoms, written as Quantum ESPRESSO input:
```
&SYSTEM
  ibrav = 0, nat = 5, ntyp = 4
/
ATOMIC_SPECIES
Cd 112.41 Cd.upf
As 74.92 As.upf
Fe 55.84 Fe.upf
Br 79.90 Br.upf
ATOMIC_POSITIONS angstrom
Cd -3.127 -2.352 1.594
As -2.173 0.527 -0.294
Fe 0.000 0.000 0.000
Br -0.541 -0.780 2.603
As -0.412 -2.099 -0.715
CELL_PARAMETERS angstrom
-4.346 1.054 -0.588
-0.825 -4.198 -1.429
-1.083 -1.559 5.205
```

VASP calculation (PBE) on CdFeAs2Br after structural relaxation. Values from VASP.

Results
The formation energy (no corrections) comes out at 556 kJ/mol of formula units. Its excess energy over the best structure of this formula in the dataset is 886.0 meV per atom. The electronic total energy is -2.917 eV/atom. The density of states at the Fermi level comes out at 1.665 states/eV/atom.

Cell and atoms, written as Quantum ESPRESSO input:
```
&SYSTEM
  ibrav = 0, nat = 5, ntyp = 4
/
ATOMIC_SPECIES
As 74.92 As.upf
Cd 112.41 Cd.upf
Fe 55.84 Fe.upf
Br 79.90 Br.upf
ATOMIC_POSITIONS angstrom
As -2.531 -0.265 -0.341
Cd 0.000 0.000 0.000
Fe -2.567 -3.097 2.128
As -0.332 -0.105 2.544
Br 0.296 -2.727 -0.074
CELL_PARAMETERS angstrom
-0.664 -0.210 5.088
-5.062 -0.530 -0.683
0.591 -5.454 -0.148
```

VASP calculation (PBE) on CdGeAsBr2 after structural relaxation. Values from VASP.

Results
The formation energy (no corrections) comes out at 195 kJ/mol of formula units. Its excess energy over the best structure of this formula in the dataset is 246.8 meV per atom. The electronic total energy is -2.301 eV/atom. The density of states at the Fermi level comes out at 0.605 states/eV/atom.

Cell and atoms, written as Quantum ESPRESSO input:
```
&SYSTEM
  ibrav = 0, nat = 5, ntyp = 4
/
ATOMIC_SPECIES
Br 79.90 Br.upf
Ge 72.64 Ge.upf
Cd 112.41 Cd.upf
As 74.92 As.upf
ATOMIC_POSITIONS angstrom
Br 0.000 2.648 0.000
Br 2.648 0.000 0.000
Ge 2.648 2.648 2.717
Cd 0.000 0.000 0.000
As 0.000 0.000 2.717
CELL_PARAMETERS angstrom
5.295 0.000 0.000
0.000 5.295 0.000
0.000 0.000 5.433
```